Computed, not measured: a relaxed structure of ErGa2FeIr4 at the GGA-PBE level of DFT.

Unit cell a=4.228 b=4.228 c=6.840 alpha=90.00 beta=90.00 gamma=90.00
Last column: magnetic moment on the atom in μB.
Fractional coordinates of all 8 atoms:
1 Fe 0.500 0.500 0.500  3.00
2 Ga 0.500 0.500 0.000  -0.01
3 Ga 0.000 0.000 0.500  0.00
4 Ir 0.000 0.500 0.278  0.24
5 Ir 0.500 0.000 0.722  0.20
6 Ir 0.500 0.000 0.278  0.20
7 Ir 0.000 0.500 0.722  0.24
8 Er 0.000 0.000 0.000  -0.06

=====

Computed, not measured: a relaxed structure of ErLuGa2Fe4 at the GGA-PBE level of DFT.

Unit cell a=3.930 b=4.919 c=6.767 alpha=90.00 beta=90.00 gamma=90.00
Last column: magnetic moment on the atom in μB.
Fractional coordinates of all 8 atoms:
1 Ga 0.000 0.500 0.166  -0.05
2 Ga 0.000 0.000 0.835  -0.06
3 Er 0.500 0.500 0.814  -0.19
4 Fe 0.000 0.250 0.500  1.98
5 Fe 0.500 0.000 0.595  1.90
6 Fe 0.000 0.750 0.500  1.98
7 Fe 0.500 0.500 0.404  1.89
8 Lu 0.500 0.000 0.188  -0.16

=====

Computed, not measured: a relaxed structure of Er2Ga4FeNi at the GGA-PBE level of DFT.

Unit cell a=6.709 b=5.435 c=5.435 alpha=43.95 beta=90.00 gamma=90.00
Last column: magnetic moment on the atom in μB.
Fractional coordinates of all 8 atoms:
1 Er 0.500 0.930 0.930  -0.04
2 Er 0.000 0.068 0.068  -0.01
3 Ga 0.801 0.356 0.356  -0.02
4 Ga 0.305 0.645 0.645  0.00
5 Ga 0.199 0.356 0.356  -0.02
6 Ga 0.695 0.645 0.645  0.00
7 Ni 0.500 0.212 0.212  -0.01
8 Fe 0.000 0.787 0.787  1.63

=====

Computed, not measured: a relaxed structure of ErGa2FePd4 at the GGA-PBE level of DFT.

Unit cell a=4.359 b=4.359 c=6.663 alpha=90.00 beta=90.00 gamma=90.00
Last column: magnetic moment on the atom in μB.
Fractional coordinates of all 8 atoms:
1 Pd 0.500 0.000 0.274  0.02
2 Pd 0.500 0.000 0.726  0.02
3 Pd 0.000 0.500 0.274  0.03
4 Pd 0.000 0.500 0.726  0.03
5 Ga 0.500 0.500 0.000  -0.03
6 Ga 0.000 0.000 0.500  -0.02
7 Fe 0.500 0.500 0.500  2.97
8 Er 0.000 0.000 0.000  -0.07

=====

Computed, not measured: a relaxed structure of ErGa2FePt4 at the GGA-PBE level of DFT.

Unit cell a=4.326 b=4.326 c=6.941 alpha=90.00 beta=90.00 gamma=90.00
Last column: magnetic moment on the atom in μB.
Fractional coordinates of all 8 atoms:
1 Pt 0.000 0.500 0.723  0.04
2 Pt 0.500 0.000 0.277  0.02
3 Pt 0.500 0.000 0.723  0.02
4 Pt 0.000 0.500 0.277  0.04
5 Ga 0.000 0.000 0.500  0.00
6 Ga 0.500 0.500 0.000  -0.03
7 Er 0.000 0.000 0.000  -0.07
8 Fe 0.500 0.500 0.500  2.99

=====

Computed, not measured: a relaxed structure of Er2Zn3GaFe2 at the GGA-PBE level of DFT.

Unit cell a=5.221 b=5.221 c=7.058 alpha=90.27 beta=90.27 gamma=45.57
Last column: magnetic moment on the atom in μB.
Fractional coordinates of all 8 atoms:
1 Ga 0.641 0.641 0.555  -0.04
2 Zn 0.643 0.643 0.947  -0.02
3 Zn 0.363 0.363 0.442  -0.03
4 Zn 0.356 0.356 0.055  -0.02
5 Fe 0.212 0.212 0.745  1.97
6 Fe 0.785 0.785 0.254  2.00
7 Er 0.930 0.930 0.751  -0.21
8 Er 0.070 0.070 0.251  -0.20

=====

Computed, not measured: a relaxed structure of GdEr2Fe9 at the GGA-PBE level of DFT.

Unit cell a=8.525 b=8.525 c=8.525 alpha=34.40 beta=34.40 gamma=34.40
Last column: magnetic moment on the atom in μB.
Fractional coordinates of all 12 atoms:
1 Fe 0.082 0.582 0.582  1.83
2 Fe 0.333 0.333 0.333  2.19
3 Fe 0.418 0.918 0.418  1.95
4 Fe 0.500 0.500 0.500  1.67
5 Fe 0.918 0.418 0.418  1.83
6 Fe 0.418 0.418 0.918  1.86
7 Fe 0.582 0.582 0.082  1.86
8 Fe 0.667 0.667 0.667  2.19
9 Fe 0.582 0.082 0.582  1.95
10 Er 0.858 0.858 0.858  -0.58
11 Er 0.142 0.142 0.142  -0.58
12 Gd 0.000 0.000 0.000  -0.40

=====

Computed, not measured: a relaxed structure of Gd2ErFe9 at the GGA-PBE level of DFT.

Unit cell a=8.595 b=8.595 c=8.595 alpha=34.16 beta=34.16 gamma=34.16
Last column: magnetic moment on the atom in μB.
Fractional coordinates of all 12 atoms:
1 Fe 0.420 0.420 0.918  2.01
2 Fe 0.580 0.082 0.580  2.09
3 Fe 0.918 0.420 0.420  1.97
4 Fe 0.500 0.500 0.500  1.86
5 Fe 0.082 0.580 0.580  1.97
6 Fe 0.580 0.580 0.082  2.01
7 Fe 0.333 0.333 0.333  2.22
8 Fe 0.667 0.667 0.667  2.22
9 Fe 0.420 0.918 0.420  2.09
10 Gd 0.858 0.858 0.858  -0.49
11 Gd 0.142 0.142 0.142  -0.49
12 Er 0.000 0.000 0.000  -0.45

=====

Computed, not measured: a relaxed structure of GdErInFe2 at the GGA-PBE level of DFT.

Unit cell a=3.978 b=7.121 c=7.121 alpha=30.70 beta=90.00 gamma=90.00
Last column: magnetic moment on the atom in μB.
Fractional coordinates of all 5 atoms:
1 Gd 0.000 0.362 0.362  -0.13
2 Er 0.000 0.639 0.639  -0.15
3 In 0.500 0.002 0.002  -0.01
4 Fe 0.500 0.208 0.208  0.93
5 Fe 0.500 0.790 0.790  0.91

=====

Computed, not measured: a relaxed structure of GdEr2Fe8Ni at the GGA-PBE level of DFT.

Unit cell a=8.606 b=8.606 c=8.606 alpha=34.13 beta=34.13 gamma=34.13
Last column: magnetic moment on the atom in μB.
Fractional coordinates of all 12 atoms:
1 Fe 0.920 0.417 0.417  2.16
2 Fe 0.417 0.920 0.417  2.28
3 Fe 0.080 0.583 0.583  2.16
4 Fe 0.333 0.333 0.333  2.34
5 Fe 0.667 0.667 0.667  2.34
6 Fe 0.583 0.080 0.583  2.28
7 Fe 0.417 0.417 0.920  2.19
8 Fe 0.583 0.583 0.080  2.19
9 Gd 0.000 0.000 0.000  -0.42
10 Er 0.858 0.858 0.858  -0.48
11 Er 0.142 0.142 0.142  -0.48
12 Ni 0.500 0.500 0.500  0.52

=====

Computed, not measured: a relaxed structure of GdEr2Fe7Ni2 at the GGA-PBE level of DFT.

Unit cell a=8.681 b=8.681 c=8.681 alpha=33.48 beta=33.48 gamma=33.48
Last column: magnetic moment on the atom in μB.
Fractional coordinates of all 12 atoms:
1 Fe 0.083 0.583 0.583  2.14
2 Fe 0.417 0.917 0.417  2.21
3 Fe 0.583 0.083 0.583  2.21
4 Fe 0.583 0.583 0.083  2.16
5 Fe 0.417 0.417 0.917  2.16
6 Fe 0.500 0.500 0.500  2.02
7 Fe 0.917 0.417 0.417  2.14
8 Gd 0.000 0.000 0.000  -0.36
9 Ni 0.667 0.667 0.667  0.47
10 Ni 0.333 0.333 0.333  0.47
11 Er 0.858 0.858 0.858  -0.65
12 Er 0.142 0.142 0.142  -0.65

=====

Computed, not measured: a relaxed structure of Gd2ErFe8Ni at the GGA-PBE level of DFT.

Unit cell a=8.663 b=8.663 c=8.663 alpha=33.92 beta=33.92 gamma=33.92
Last column: magnetic moment on the atom in μB.
Fractional coordinates of all 12 atoms:
1 Fe 0.581 0.581 0.080  2.19
2 Fe 0.080 0.581 0.581  2.16
3 Fe 0.419 0.920 0.419  2.26
4 Fe 0.333 0.333 0.333  2.32
5 Fe 0.920 0.419 0.419  2.16
6 Fe 0.667 0.667 0.667  2.32
7 Fe 0.581 0.080 0.581  2.26
8 Fe 0.419 0.419 0.920  2.19
9 Er 0.000 0.000 0.000  -0.48
10 Gd 0.142 0.142 0.142  -0.42
11 Gd 0.858 0.858 0.858  -0.42
12 Ni 0.500 0.500 0.500  0.47

=====

Computed, not measured: a relaxed structure of GdEr2Fe3Ni6 at the GGA-PBE level of DFT.

Unit cell a=8.493 b=8.493 c=8.493 alpha=34.43 beta=34.43 gamma=34.43
Last column: magnetic moment on the atom in μB.
Fractional coordinates of all 12 atoms:
1 Ni 0.082 0.584 0.584  0.34
2 Ni 0.416 0.918 0.416  0.36
3 Ni 0.918 0.416 0.416  0.34
4 Ni 0.584 0.082 0.584  0.36
5 Ni 0.416 0.416 0.918  0.35
6 Ni 0.584 0.584 0.082  0.35
7 Er 0.139 0.139 0.139  -0.26
8 Er 0.861 0.861 0.861  -0.26
9 Fe 0.667 0.667 0.667  2.52
10 Fe 0.333 0.333 0.333  2.52
11 Fe 0.500 0.500 0.500  2.33
12 Gd 0.000 0.000 0.000  -0.15

=====

Computed, not measured: a relaxed structure of GdErFe2Pb at the GGA-PBE level of DFT.

Unit cell a=3.821 b=7.399 c=7.399 alpha=30.58 beta=90.00 gamma=90.00
Last column: magnetic moment on the atom in μB.
Fractional coordinates of all 5 atoms:
1 Gd 0.000 0.363 0.363  -0.24
2 Pb 0.500 0.002 0.002  -0.04
3 Fe 0.500 0.205 0.205  1.84
4 Fe 0.500 0.792 0.792  1.82
5 Er 0.000 0.639 0.639  -0.27

=====

Computed, not measured: a relaxed structure of GdErFe2Si4 at the GGA-PBE level of DFT.

Unit cell a=3.951 b=8.482 c=8.482 alpha=27.52 beta=90.00 gamma=90.00
Last column: magnetic moment on the atom in μB.
Fractional coordinates of all 8 atoms:
1 Si 0.000 0.750 0.750  0.00
2 Si 0.500 0.251 0.251  0.00
3 Si 0.500 0.957 0.957  0.00
4 Si 0.000 0.042 0.042  0.00
5 Fe 0.000 0.178 0.178  0.20
6 Fe 0.500 0.822 0.822  -0.03
7 Gd 0.500 0.608 0.608  0.01
8 Er 0.000 0.391 0.391  0.01

=====

Computed, not measured: a relaxed structure of GdErFe2Sn at the GGA-PBE level of DFT.

Unit cell a=3.796 b=7.247 c=7.247 alpha=31.02 beta=90.00 gamma=90.00
Last column: magnetic moment on the atom in μB.
Fractional coordinates of all 5 atoms:
1 Gd 0.500 0.366 0.366  -0.23
2 Fe 0.000 0.795 0.795  1.83
3 Fe 0.000 0.202 0.202  1.83
4 Er 0.500 0.635 0.635  -0.25
5 Sn 0.000 0.002 0.002  -0.05

=====

Computed, not measured: a relaxed structure of Gd3Er3FeTe2 at the GGA-PBE level of DFT.

Unit cell a=8.372 b=8.372 c=3.935 alpha=90.00 beta=90.00 gamma=120.00
Last column: magnetic moment on the atom in μB.
Fractional coordinates of all 9 atoms:
1 Fe 0.000 0.000 0.000  -1.36
2 Gd 0.239 0.000 0.500  0.16
3 Gd 0.761 0.761 0.500  0.17
4 Gd 0.000 0.239 0.500  0.15
5 Te 0.333 0.667 0.500  0.00
6 Te 0.667 0.333 0.500  0.00
7 Er 0.601 0.000 0.000  0.09
8 Er 0.399 0.399 0.000  0.10
9 Er 0.000 0.601 0.000  0.07

=====

Computed, not measured: a relaxed structure of Gd3Er3FeTe2 at the GGA-PBE level of DFT.

Unit cell a=8.299 b=8.299 c=3.982 alpha=90.00 beta=90.00 gamma=120.00
Last column: magnetic moment on the atom in μB.
Fractional coordinates of all 9 atoms:
1 Gd 0.396 0.396 0.500  0.09
2 Gd 0.000 0.604 0.500  0.08
3 Gd 0.604 0.000 0.500  0.09
4 Te 0.667 0.333 0.000  0.00
5 Te 0.333 0.667 0.000  0.00
6 Fe 0.000 0.000 0.500  -1.29
7 Er 0.232 0.000 0.000  0.18
8 Er 0.000 0.232 0.000  0.16
9 Er 0.768 0.768 0.000  0.18

=====

Computed, not measured: a relaxed structure of Er3FeGe3 at the GGA-PBE level of DFT.

Unit cell a=5.688 b=5.688 c=13.683 alpha=109.36 beta=109.36 gamma=43.13
Fractional coordinates of all 14 atoms:
1 Fe 0.755 0.755 0.586
2 Fe 0.245 0.245 0.414
3 Ge 0.952 0.952 0.756
4 Ge 0.125 0.125 0.075
5 Ge 0.048 0.048 0.244
6 Ge 0.143 0.143 0.546
7 Ge 0.857 0.857 0.454
8 Ge 0.875 0.875 0.925
9 Er 0.402 0.402 0.081
10 Er 0.525 0.525 0.381
11 Er 0.598 0.598 0.919
12 Er 0.254 0.254 0.769
13 Er 0.746 0.746 0.231
14 Er 0.475 0.475 0.619

=====

Computed, not measured: a relaxed structure of Er3FeGe3 at the GGA-PBE level of DFT.

Unit cell a=5.597 b=5.597 c=13.380 alpha=90.00 beta=90.00 gamma=137.58
Last column: magnetic moment on the atom in μB.
Fractional coordinates of all 14 atoms:
1 Er 0.712 0.288 0.600  -0.14
2 Er 0.288 0.712 0.400  -0.14
3 Er 0.996 0.004 0.750  -0.02
4 Er 0.288 0.712 0.100  -0.14
5 Er 0.004 0.996 0.250  -0.02
6 Er 0.712 0.288 0.900  -0.14
7 Ge 0.569 0.431 0.409  -0.02
8 Ge 0.274 0.726 0.750  0.00
9 Ge 0.431 0.569 0.591  -0.02
10 Ge 0.726 0.274 0.250  0.00
11 Ge 0.569 0.431 0.091  -0.01
12 Ge 0.431 0.569 0.909  -0.01
13 Fe 0.000 0.000 0.000  1.72
14 Fe 0.000 0.000 0.500  1.69

=====

Ρ (kg/m³)
15366 8952 8789 10340 14610 8606 9363 9157 8885 9259 9366 9083 9615 10039 6936 8968 8931 8981 9108 9111
Total DFT energy (no corrections) (eV/atom)
-7.2434 -6.3892 -4.9135 -5.5257 -6.0278 -4.2744 -7.4623 -7.4376 -5.9160 -7.2698 -7.0697 -7.2525 -6.3107 -6.1051 -6.5471 -6.2534 -5.2730 -5.3378 -5.8531 -5.7898